First-principles (PBE-GGA) data for a geometry-optimized KSnBi2 structure, as listed in Alexandria via LeMat-Bulk.

The structure in POSCAR format:
```
KSnBi2
1.0
4.188 0.000 0.000
-2.094 3.627 0.000
0.000 0.000 28.817
K Sn Bi
3 3 6
Direct
0.000 0.000 0.000
0.333 0.667 0.667
0.667 0.333 0.333
0.000 0.000 0.500
0.333 0.667 0.167
0.667 0.333 0.833
0.000 0.000 0.235
0.000 0.000 0.765
0.333 0.667 0.432
0.333 0.667 0.901
0.667 0.333 0.099
0.667 0.333 0.568
```

Output
Formation energy ... -31 meV per atom
Uncorrected energy ... -38.96 eV per cell

First-principles (PBE-GGA) data for a geometry-optimized BaMn2Si structure, as listed in Alexandria via LeMat-Bulk.

The structure in POSCAR format:
```
BaMn2Si
1.0
3.321 0.000 0.000
0.000 4.914 0.000
0.000 0.000 5.439
Ba Mn Si
1 2 1
Direct
0.000 0.000 0.000
0.000 0.500 0.500
0.500 0.500 0.000
0.500 0.000 0.500
```

Output
Uncorrected energy ... -22.35 eV per cell
E_form (uncorrected) ... 0.833 eV per atom

First-principles (PBE-GGA) data for a geometry-optimized BiWI2Br structure, as listed in Alexandria via LeMat-Bulk.

The structure in POSCAR format:
```
BiWI2Br
1.0
5.381 0.000 0.000
0.000 5.381 0.000
0.000 0.000 5.560
Bi W I Br
1 1 2 1
Direct
0.000 0.000 0.000
0.000 0.000 0.500
0.000 0.500 0.500
0.500 0.000 0.500
0.500 0.500 0.000
```

Output
Uncorrected energy ... -19.13 eV per cell
E_form (uncorrected) ... 0.496 eV per atom

First-principles (PBE-GGA) data for a geometry-optimized RbFe3B structure, as listed in Alexandria via LeMat-Bulk.

The structure in POSCAR format:
```
RbFe3B
1.0
4.169 0.000 0.000
0.000 4.169 0.000
0.000 0.000 4.169
Rb Fe B
1 3 1
Direct
0.000 0.000 0.000
0.000 0.500 0.500
0.500 0.000 0.500
0.500 0.500 0.000
0.500 0.500 0.500
```

Output
Formation energy ... 1001 meV per atom
Uncorrected energy ... -28.03 eV per cell
Energy above the most stable polymorph in this dataset ... 0.0000 eV/atom

First-principles (PBE-GGA) data for a geometry-optimized CsUPb2Se5 structure, as listed in Alexandria via LeMat-Bulk.

The structure in POSCAR format:
```
CsUPb2Se5
1.0
-2.696 3.928 7.290
2.696 -3.928 7.290
2.696 3.928 -7.290
Cs U Pb Se
1 1 2 5
Direct
0.000 0.000 0.000
0.500 0.500 0.000
0.289 0.789 0.500
0.711 0.211 0.500
0.126 0.361 0.765
0.405 0.639 0.765
0.500 0.000 0.500
0.595 0.361 0.235
0.874 0.639 0.235
```

Output
Uncorrected energy ... -44.49 eV per cell
E_form (uncorrected) ... -0.835 eV per atom

First-principles (PBE-GGA) data for a geometry-optimized LiTlGa structure, as listed in Alexandria via LeMat-Bulk.

The structure in POSCAR format:
```
LiTlGa
1.0
7.385 0.000 0.000
0.000 4.263 0.000
-0.006 0.000 8.989
Li Tl Ga
4 4 4
Direct
0.000 0.000 0.000
0.168 0.500 0.595
0.500 0.500 0.000
0.668 0.000 0.595
0.000 0.000 0.399
0.167 0.500 0.172
0.500 0.500 0.399
0.667 0.000 0.172
0.001 0.000 0.717
0.334 0.000 0.786
0.501 0.500 0.717
0.834 0.500 0.786
```

Output
Formation energy ... -75 meV per atom
Uncorrected energy ... -30.12 eV per cell
Energy above the most stable polymorph in this dataset ... 0.0255 eV/atom

First-principles (PBE-GGA) data for a geometry-optimized Ce2Pu3NpAs6 structure, as listed in Alexandria via LeMat-Bulk.

The structure in POSCAR format:
```
Ce2Pu3NpAs6
1.0
9.070 -2.084 0.000
9.070 2.084 0.000
-1.891 0.000 8.101
Ce Pu Np As
2 3 1 6
Direct
0.166 0.166 0.332
0.834 0.834 0.668
0.168 0.168 0.833
0.500 0.500 0.500
0.832 0.832 0.167
0.500 0.500 0.000
0.002 0.002 0.753
0.334 0.334 0.415
0.334 0.334 0.921
0.666 0.666 0.079
0.666 0.666 0.585
0.998 0.998 0.247
```

Output
Formation energy ... -1106 meV per atom
Uncorrected energy ... -108.98 eV per cell

First-principles (PBE-GGA) data for a geometry-optimized Zn2TcSe structure, as listed in Alexandria via LeMat-Bulk.

The structure in POSCAR format:
```
Zn2TcSe
1.0
8.872 0.000 0.000
0.000 3.083 0.000
-0.746 0.000 4.695
Zn Tc Se
4 2 2
Direct
0.000 0.000 0.000
0.244 0.000 0.783
0.500 0.500 0.000
0.744 0.500 0.783
0.245 0.500 0.267
0.745 0.000 0.267
0.462 0.000 0.451
0.962 0.500 0.451
```

Output
Uncorrected energy ... -31.91 eV per cell
E_form (uncorrected) ... 0.111 eV per atom
Energy above the most stable polymorph in this dataset ... 0.0833 eV/atom